First-principles (PBE) data for NdLuThHg after structural relaxation, as listed in Alexandria.

## Properties
Electronic total energy ... -4.255 eV per atom
M_tot ... 0.00 μB/f.u.
Energy of formation ... -0.002 eV/atom

a = 5.490 Å, b = 5.490 Å, c = 5.490 Å
α = 60.00°, β = 60.00°, γ = 60.00°
Fractional positions:
1 Nd 0.500 0.500 0.500
2 Th 0.000 0.000 0.000
3 Hg 0.250 0.250 0.250
4 Lu 0.750 0.750 0.750